The following is a DFT calculation (PBE) of crystalline Rb4Na2Te at its relaxed geometry.

The structure in CIF format:
```
data_Rb4Na2Te
_symmetry_space_group_name_H-M 'P 1'
_symmetry_Int_Tables_number 1
_cell_length_a 7.0371
_cell_length_b 7.0371
_cell_length_c 11.5458
_cell_angle_alpha 72.26
_cell_angle_beta 72.26
_cell_angle_gamma 90.00
loop_
_symmetry_equiv_pos_as_xyz
'x,y,z'
loop_
_atom_site_label
_atom_site_type_symbol
_atom_site_fract_x
_atom_site_fract_y
_atom_site_fract_z
Te1 Te 0.0000 0.0000 0.0000
Na1 Na 0.6341 0.6341 0.7318
Rb1 Rb 0.8306 0.8306 0.3389
Rb2 Rb 0.5000 0.0000 0.0000
Na2 Na 0.3659 0.3659 0.2682
Rb3 Rb 0.1694 0.1694 0.6611
Rb4 Rb 0.0000 0.5000 0.0000
```

Calculated total energy (eV/f.u.): -11.751

The following is a DFT calculation (PBE) of crystalline Rb3NaTe2 at its relaxed geometry.

The structure in CIF format:
```
data_Rb3NaTe2
_symmetry_space_group_name_H-M 'P 1'
_symmetry_Int_Tables_number 1
_cell_length_a 8.6243
_cell_length_b 7.4559
_cell_length_c 10.2367
_cell_angle_alpha 111.36
_cell_angle_beta 114.91
_cell_angle_gamma 90.00
loop_
_symmetry_equiv_pos_as_xyz
'x,y,z'
loop_
_atom_site_label
_atom_site_type_symbol
_atom_site_fract_x
_atom_site_fract_y
_atom_site_fract_z
Te1 Te 0.8967 0.6103 0.2206
Rb1 Rb 0.3674 0.6812 0.3625
Te2 Te 0.3239 0.1103 0.2206
Rb2 Rb 0.5000 0.2500 0.0000
Na1 Na 0.0000 0.7500 0.0000
Te3 Te 0.1033 0.3897 0.7794
Rb3 Rb 0.5000 0.7500 0.0000
Rb4 Rb 0.0050 0.8188 0.6375
Rb5 Rb 0.6326 0.3188 0.6375
Te4 Te 0.6761 0.8897 0.7794
Rb6 Rb 0.9950 0.1812 0.3625
Na2 Na 0.0000 0.2500 0.0000
```

Calculated total energy (eV/f.u.): -16.294

The following is a DFT calculation (PBE) of crystalline Rb2NaTe2 at its relaxed geometry.

The structure in CIF format:
```
data_Rb2NaTe2
_symmetry_space_group_name_H-M 'P 1'
_symmetry_Int_Tables_number 1
_cell_length_a 8.7460
_cell_length_b 8.7460
_cell_length_c 5.4243
_cell_angle_alpha 90.00
_cell_angle_beta 90.00
_cell_angle_gamma 90.00
loop_
_symmetry_equiv_pos_as_xyz
'x,y,z'
loop_
_atom_site_label
_atom_site_type_symbol
_atom_site_fract_x
_atom_site_fract_y
_atom_site_fract_z
Rb1 Rb 0.8475 0.3475 0.5000
Te1 Te 0.6467 0.1467 0.0000
Na1 Na 0.0000 0.0000 0.0000
Na2 Na 0.5000 0.5000 0.0000
Rb2 Rb 0.1525 0.6525 0.5000
Te2 Te 0.8533 0.6467 0.0000
Te3 Te 0.3533 0.8533 0.0000
Rb3 Rb 0.3475 0.1525 0.5000
Rb4 Rb 0.6525 0.8475 0.5000
Te4 Te 0.1467 0.3533 0.0000
```

Calculated total energy (eV/f.u.): -13.316
Energy above the most stable polymorph in this dataset (eV per atom): 0.107

The following is a DFT calculation (PBE) of crystalline RbNa3Te at its relaxed geometry.

The structure in CIF format:
```
data_RbNa3Te
_symmetry_space_group_name_H-M 'P 1'
_symmetry_Int_Tables_number 1
_cell_length_a 6.2159
_cell_length_b 6.2159
_cell_length_c 6.2159
_cell_angle_alpha 90.00
_cell_angle_beta 90.00
_cell_angle_gamma 90.00
loop_
_symmetry_equiv_pos_as_xyz
'x,y,z'
loop_
_atom_site_label
_atom_site_type_symbol
_atom_site_fract_x
_atom_site_fract_y
_atom_site_fract_z
Te1 Te 0.5000 0.5000 0.5000
Rb1 Rb 0.0000 0.0000 0.0000
Na1 Na 0.0000 0.5000 0.0000
Na2 Na 0.0000 0.0000 0.5000
Na3 Na 0.5000 0.0000 0.0000
```

Calculated total energy (eV/f.u.): -6.308
Energy above the most stable polymorph in this dataset (eV per atom): 0.740

The following is a DFT calculation (PBE) of crystalline RbNa3Te at its relaxed geometry.

The structure in CIF format:
```
data_RbNa3Te
_symmetry_space_group_name_H-M 'P 1'
_symmetry_Int_Tables_number 1
_cell_length_a 6.1829
_cell_length_b 6.1829
_cell_length_c 6.1829
_cell_angle_alpha 90.00
_cell_angle_beta 90.00
_cell_angle_gamma 90.00
loop_
_symmetry_equiv_pos_as_xyz
'x,y,z'
loop_
_atom_site_label
_atom_site_type_symbol
_atom_site_fract_x
_atom_site_fract_y
_atom_site_fract_z
Te1 Te 0.0000 0.0000 0.0000
Rb1 Rb 0.5000 0.5000 0.5000
Na1 Na 0.5000 0.0000 0.0000
Na2 Na 0.0000 0.0000 0.5000
Na3 Na 0.0000 0.5000 0.0000
```

Calculated total energy (eV/f.u.): -10.007
Energy above the most stable polymorph in this dataset (eV per atom): 0.000

The following is a DFT calculation (PBE) of crystalline RbNa2Te3 at its relaxed geometry.

The structure in CIF format:
```
data_RbNa2Te3
_symmetry_space_group_name_H-M 'P 1'
_symmetry_Int_Tables_number 1
_cell_length_a 9.6253
_cell_length_b 7.5510
_cell_length_c 7.5510
_cell_angle_alpha 122.08
_cell_angle_beta 90.00
_cell_angle_gamma 90.00
loop_
_symmetry_equiv_pos_as_xyz
'x,y,z'
loop_
_atom_site_label
_atom_site_type_symbol
_atom_site_fract_x
_atom_site_fract_y
_atom_site_fract_z
Te1 Te 0.7500 0.1856 0.1856
Te2 Te 0.2500 0.5159 0.9793
Na1 Na 0.0000 0.1792 0.8208
Na2 Na 0.5000 0.8208 0.1792
Te3 Te 0.7500 0.4841 0.0207
Rb1 Rb 0.7500 0.6596 0.6596
Rb2 Rb 0.2500 0.3404 0.3404
Te4 Te 0.2500 0.8144 0.8144
Te5 Te 0.2500 0.9793 0.5159
Te6 Te 0.7500 0.0207 0.4841
Na3 Na 0.5000 0.1792 0.8208
Na4 Na 0.0000 0.8208 0.1792
```

Calculated total energy (eV/f.u.): -16.939

The following is a DFT calculation (PBE) of crystalline Rb2NaTe2 at its relaxed geometry.

The structure in CIF format:
```
data_Rb2NaTe2
_symmetry_space_group_name_H-M 'P 1'
_symmetry_Int_Tables_number 1
_cell_length_a 10.3377
_cell_length_b 10.3377
_cell_length_c 3.8598
_cell_angle_alpha 90.00
_cell_angle_beta 90.00
_cell_angle_gamma 90.00
loop_
_symmetry_equiv_pos_as_xyz
'x,y,z'
loop_
_atom_site_label
_atom_site_type_symbol
_atom_site_fract_x
_atom_site_fract_y
_atom_site_fract_z
Te1 Te 0.8217 0.3217 0.5000
Na1 Na 0.0000 0.0000 0.0000
Na2 Na 0.5000 0.5000 0.0000
Te2 Te 0.1783 0.6783 0.5000
Rb1 Rb 0.6208 0.1208 0.0000
Rb2 Rb 0.1208 0.3792 0.0000
Rb3 Rb 0.3792 0.8792 0.0000
Te3 Te 0.3217 0.1783 0.5000
Te4 Te 0.6783 0.8217 0.5000
Rb4 Rb 0.8792 0.6208 0.0000
```

Calculated total energy (eV/f.u.): -12.734
Energy above the most stable polymorph in this dataset (eV per atom): 0.224

The following is a DFT calculation (PBE) of crystalline Rb2Na12Te7 at its relaxed geometry.

The structure in CIF format:
```
data_Rb2Na12Te7
_symmetry_space_group_name_H-M 'P 1'
_symmetry_Int_Tables_number 1
_cell_length_a 4.9007
_cell_length_b 12.6738
_cell_length_c 12.6738
_cell_angle_alpha 120.00
_cell_angle_beta 90.00
_cell_angle_gamma 90.00
loop_
_symmetry_equiv_pos_as_xyz
'x,y,z'
loop_
_atom_site_label
_atom_site_type_symbol
_atom_site_fract_x
_atom_site_fract_y
_atom_site_fract_z
Te1 Te 0.0000 0.0362 0.7824
Te2 Te 0.0000 0.3333 0.6667
Na1 Na 0.5000 0.5518 0.7636
Na2 Na 0.5000 0.7204 0.1019
Te3 Te 0.5000 0.4520 0.0739
Na3 Na 0.0000 0.0567 0.5478
Rb1 Rb 0.5000 0.0000 0.0000
Na4 Na 0.0000 0.7629 0.7255
Na5 Na 0.0000 0.4911 0.9433
Te4 Te 0.0000 0.2176 0.2538
Te5 Te 0.5000 0.9261 0.3782
Rb2 Rb 0.0000 0.6667 0.3333
Na6 Na 0.0000 0.2745 0.0374
Na7 Na 0.5000 0.8981 0.6185
Na8 Na 0.5000 0.3815 0.2796
Te6 Te 0.0000 0.7462 0.9638
Na9 Na 0.5000 0.2364 0.7882
Na10 Na 0.0000 0.9626 0.2371
Te7 Te 0.5000 0.6218 0.5480
Na11 Na 0.0000 0.4522 0.5089
Na12 Na 0.5000 0.2118 0.4482
```

Calculated total energy (eV/f.u.): -59.524

The following is a DFT calculation (PBE) of crystalline RbNa5Te3 at its relaxed geometry.

The structure in CIF format:
```
data_RbNa5Te3
_symmetry_space_group_name_H-M 'P 1'
_symmetry_Int_Tables_number 1
_cell_length_a 5.0562
_cell_length_b 8.8789
_cell_length_c 14.4560
_cell_angle_alpha 90.00
_cell_angle_beta 90.00
_cell_angle_gamma 106.54
loop_
_symmetry_equiv_pos_as_xyz
'x,y,z'
loop_
_atom_site_label
_atom_site_type_symbol
_atom_site_fract_x
_atom_site_fract_y
_atom_site_fract_z
Te1 Te 0.9122 0.8245 0.2500
Te2 Te 0.3747 0.7495 0.9474
Rb1 Rb 0.1434 0.2868 0.2500
Na1 Na 0.5455 0.0910 0.6388
Na2 Na 0.0000 0.0000 0.5000
Te3 Te 0.3747 0.7495 0.5526
Na3 Na 0.5455 0.0910 0.8612
Na4 Na 0.0000 0.0000 0.0000
Te4 Te 0.0878 0.1755 0.7500
Na5 Na 0.1932 0.3864 0.9340
Na6 Na 0.8068 0.6136 0.0660
Na7 Na 0.1932 0.3864 0.5660
Rb2 Rb 0.8566 0.7132 0.7500
Te5 Te 0.6253 0.2505 0.0526
Na8 Na 0.4545 0.9090 0.3612
Na9 Na 0.8068 0.6136 0.4340
Na10 Na 0.4545 0.9090 0.1388
Te6 Te 0.6253 0.2505 0.4474
```

Calculated total energy (eV/f.u.): -25.260

The following is a DFT calculation (PBE) of crystalline Rb2NaTe2 at its relaxed geometry.

The structure in CIF format:
```
data_Rb2NaTe2
_symmetry_space_group_name_H-M 'P 1'
_symmetry_Int_Tables_number 1
_cell_length_a 5.0903
_cell_length_b 7.0289
_cell_length_c 7.0291
_cell_angle_alpha 63.98
_cell_angle_beta 68.77
_cell_angle_gamma 68.77
loop_
_symmetry_equiv_pos_as_xyz
'x,y,z'
loop_
_atom_site_label
_atom_site_type_symbol
_atom_site_fract_x
_atom_site_fract_y
_atom_site_fract_z
Na1 Na 0.5000 0.5000 0.0000
Te1 Te 0.0000 0.7514 0.7486
Rb1 Rb 0.3086 0.1914 0.6914
Rb2 Rb 0.6914 0.8086 0.3086
Te2 Te 0.0000 0.2486 0.2514
```

Calculated total energy (eV/f.u.): -13.854
Energy above the most stable polymorph in this dataset (eV per atom): 0.000

| no. | magnetic moment (μB per atom) | calculated density (g/cm³) |
| --- | --- | --- |
| 1 | 0.000 | 1.7 |
| 2 | 0.000 | 3.2 |
| 3 | 0.200 | 3.6 |
| 4 | 0.000 | 2.0 |
| 5 | 0.000 | 2.0 |
| 6 | 0.000 | 3.7 |
| 7 | 0.000 | 3.6 |
| 8 | 0.000 | 3.3 |
| 9 | 0.000 | 3.1 |
| 10 | 0.000 | 3.6 |